No. 1
# FeAgRh4 GGA-PBE optimized geometry
# formation enthalpy at 0 K = 36.14 kJ per mole of atoms
data_FeAgRh4
_space_group_name_H-M_alt 'F -4 3 m'
_space_group_IT_number 216
_space_group_name_Hall 'F -4 2 3'
_cell_length_a 7.238
_cell_length_b 7.238
_cell_length_c 7.238
_cell_angle_alpha 90.00
_cell_angle_beta 90.00
_cell_angle_gamma 90.00
loop_
_atom_site_label
_atom_site_type_symbol
_atom_site_fract_x
_atom_site_fract_y
_atom_site_fract_z
_atom_site_occupancy
Fe1 Fe 0.000 0.000 0.000 1
Ag1 Ag 0.250 0.250 0.250 1
Rh1 Rh 0.125 0.125 0.625 1



No. 2
# Cs2Pb2S3 GGA-PBE optimized geometry
# formation energy without anion corrections = -786 meV per atom
data_Cs2Pb2S3
_space_group_name_H-M_alt 'C 1 2/c 1'
_space_group_IT_number 15
_space_group_name_Hall '-C 2yc'
_cell_length_a 15.691
_cell_length_b 18.627
_cell_length_c 8.228
_cell_angle_alpha 90.00
_cell_angle_beta 113.33
_cell_angle_gamma 90.00
loop_
_atom_site_label
_atom_site_type_symbol
_atom_site_fract_x
_atom_site_fract_y
_atom_site_fract_z
_atom_site_occupancy
Cs1 Cs 0.000 0.081 0.250 1
Cs2 Cs 0.000 0.270 0.750 1
Cs3 Cs 0.135 0.429 0.512 1
Pb1 Pb 0.183 0.090 0.795 1
Pb2 Pb 0.185 0.243 0.246 1
S1 S 0.135 0.377 0.106 1
S2 S 0.138 0.232 0.527 1
S3 S 0.177 0.026 0.097 1



No. 3
# Fe2Ni2W GGA-PBE optimized geometry
# formation enthalpy at 0 K = 17.58 kJ per mole of atoms
# distance to the lowest polymorph of the same formula = 0.1642 eV per atom
data_Fe2Ni2W
_space_group_name_H-M_alt 'P 4/m b m'
_space_group_IT_number 127
_space_group_name_Hall '-P 4 2ab'
_cell_length_a 6.895
_cell_length_b 6.895
_cell_length_c 2.574
_cell_angle_alpha 90.00
_cell_angle_beta 90.00
_cell_angle_gamma 90.00
loop_
_atom_site_label
_atom_site_type_symbol
_atom_site_fract_x
_atom_site_fract_y
_atom_site_fract_z
_atom_site_occupancy
Fe1 Fe 0.121 0.379 0.000 1
Ni1 Ni 0.176 0.676 0.500 1
W1 W 0.000 0.000 0.000 1



No. 4
# Tb3Si3Au2 GGA-PBE optimized geometry
# formation energy without anion corrections = -789 meV per atom
data_Tb3Si3Au2
_space_group_name_H-M_alt 'C m c m'
_space_group_IT_number 63
_space_group_name_Hall '-C 2c 2'
_cell_length_a 4.301
_cell_length_b 10.707
_cell_length_c 14.232
_cell_angle_alpha 90.00
_cell_angle_beta 90.00
_cell_angle_gamma 90.00
loop_
_atom_site_label
_atom_site_type_symbol
_atom_site_fract_x
_atom_site_fract_y
_atom_site_fract_z
_atom_site_occupancy
Tb1 Tb 0.000 0.082 0.115 1
Tb2 Tb 0.000 0.364 0.250 1
Si1 Si 0.000 0.348 0.750 1
Si2 Si 0.000 0.400 0.041 1
Au1 Au 0.000 0.210 0.594 1



no.,energy (Ry per atom)
1,-0.4713
2,-0.2836
3,-0.5958
4,-0.3953